No. 1
A plane-wave DFT calculation with GGA-PBE was carried out for AcYSb2O8 after structural relaxation.

Space group: No. 119
ΔE_f (raw): -2566 kJ/mol of formula units
Crystal system: tetragonal

a b c (Å): 6.398 6.398 6.398
angles (deg): 107.11 107.11 114.30
Sites, in units of the cell vectors:
Ac (0.000, 0.000, 0.000)
Y (0.250, 0.750, 0.500)
Sb (0.500, 0.500, 0.000)
Sb (0.750, 0.250, 0.500)
O (0.322, 0.130, 0.808)
O (0.322, 0.514, 0.192)
O (0.380, 0.057, 0.323)
O (0.486, 0.678, 0.808)
O (0.734, 0.057, 0.677)
O (0.870, 0.678, 0.192)
O (0.943, 0.266, 0.323)
O (0.943, 0.620, 0.677)

No. 2
A plane-wave DFT calculation with GGA-PBE was carried out for Ac2La2TbPm after structural relaxation.

Space group: No. 11
Formation energy from the elements: 0.138 eV per atom
Crystal system: monoclinic

a b c (Å): 6.763 7.291 9.392
angles (deg): 90.00 95.38 90.00
Sites, in units of the cell vectors:
Ac (0.183, 0.000, 0.176)
Ac (0.183, 0.500, 0.176)
Ac (0.817, 0.000, 0.824)
Ac (0.817, 0.500, 0.824)
La (0.092, 0.250, 0.518)
La (0.411, 0.750, 0.504)
La (0.589, 0.250, 0.496)
La (0.908, 0.750, 0.482)
Tb (0.339, 0.250, 0.855)
Tb (0.661, 0.750, 0.145)
Pm (0.310, 0.750, 0.845)
Pm (0.690, 0.250, 0.155)

No. 3
A plane-wave DFT calculation with GGA-PBE was carried out for YEr4Hg after structural relaxation.

Space group: No. 123
ΔE to the lowest computed polymorph: 0 meV/atom
Formation energy from the elements: -0.140 eV per atom
Crystal system: tetragonal

a b c (Å): 3.540 3.540 13.978
angles (deg): 90.00 90.00 90.00
Sites, in units of the cell vectors:
Y (0.000, 0.000, 0.000)
Er (0.000, 0.000, 0.356)
Er (0.000, 0.000, 0.644)
Er (0.500, 0.500, 0.179)
Er (0.500, 0.500, 0.821)
Hg (0.500, 0.500, 0.500)

No. 4
A plane-wave DFT calculation with GGA-PBE was carried out for CaZn2Cu6 after structural relaxation.

Space group: No. 227
Formation energy from the elements: 0.388 eV per atom
Crystal system: cubic

a b c (Å): 7.757 7.757 7.757
angles (deg): 60.00 60.00 60.00
Sites, in units of the cell vectors:
Ca (0.125, 0.125, 0.125)
Ca (0.875, 0.875, 0.875)
Zn (0.000, 0.500, 0.500)
Zn (0.500, 0.000, 0.500)
Zn (0.500, 0.500, 0.000)
Zn (0.500, 0.500, 0.500)
Cu (0.126, 0.126, 0.624)
Cu (0.126, 0.624, 0.126)
Cu (0.126, 0.624, 0.624)
Cu (0.376, 0.376, 0.874)
Cu (0.376, 0.874, 0.376)
Cu (0.376, 0.874, 0.874)
Cu (0.624, 0.126, 0.126)
Cu (0.624, 0.126, 0.624)
Cu (0.624, 0.624, 0.126)
Cu (0.874, 0.376, 0.376)
Cu (0.874, 0.376, 0.874)
Cu (0.874, 0.874, 0.376)

No. 5
A plane-wave DFT calculation with GGA-PBE was carried out for Na2SrMo after structural relaxation.

Space group: No. 225
ΔE to the lowest computed polymorph: 0 meV/atom
Formation energy from the elements: 0.971 eV per atom
Crystal system: cubic

a b c (Å): 5.647 5.647 5.647
angles (deg): 60.00 60.00 60.00
Sites, in units of the cell vectors:
Na (0.250, 0.250, 0.250)
Na (0.750, 0.750, 0.750)
Sr (0.000, 0.000, 0.000)
Mo (0.500, 0.500, 0.500)

No. 6
A plane-wave DFT calculation with GGA-PBE was carried out for CaCdGa2Ag2 after structural relaxation.

Space group: No. 164
Formation energy from the elements: -0.227 eV per atom
Crystal system: trigonal

a b c (Å): 4.605 4.605 6.832
angles (deg): 90.00 90.00 120.00
Sites, in units of the cell vectors:
Ca (0.000, 0.000, 0.000)
Cd (0.000, 0.000, 0.500)
Ga (0.333, 0.667, 0.743)
Ga (0.667, 0.333, 0.257)
Ag (0.333, 0.667, 0.296)
Ag (0.667, 0.333, 0.704)

No. 7
A plane-wave DFT calculation with GGA-PBE was carried out for Y2TaAu after structural relaxation.

Space group: No. 119
ΔE to the lowest computed polymorph: 257 meV/atom
Formation energy from the elements: 0.093 eV per atom
Crystal system: tetragonal

a b c (Å): 5.820 5.820 5.820
angles (deg): 136.39 136.39 63.37
Sites, in units of the cell vectors:
Y (0.000, 0.000, 0.000)
Y (0.750, 0.250, 0.500)
Ta (0.500, 0.500, 0.000)
Au (0.250, 0.750, 0.500)

No. 8
A plane-wave DFT calculation with GGA-PBE was carried out for LiTlFeCl4 after structural relaxation.

Space group: No. 11
ΔE_f (raw): -724 kJ/mol of formula units
Crystal system: monoclinic

a b c (Å): 6.332 7.088 8.656
angles (deg): 90.00 104.51 90.00
Sites, in units of the cell vectors:
Li (0.134, 0.250, 0.498)
Li (0.866, 0.750, 0.502)
Tl (0.239, 0.250, 0.057)
Tl (0.761, 0.750, 0.943)
Fe (0.241, 0.750, 0.319)
Fe (0.759, 0.250, 0.681)
Cl (0.017, 0.010, 0.701)
Cl (0.017, 0.490, 0.701)
Cl (0.337, 0.750, 0.083)
Cl (0.492, 0.250, 0.451)
Cl (0.508, 0.750, 0.549)
Cl (0.663, 0.250, 0.917)
Cl (0.983, 0.510, 0.299)
Cl (0.983, 0.990, 0.299)

No. 9
A plane-wave DFT calculation with GGA-PBE was carried out for Er4Tl5Cu2 after structural relaxation.

Space group: No. 10
Formation energy from the elements: -0.257 eV per atom
Crystal system: monoclinic

a b c (Å): 7.871 3.631 9.536
angles (deg): 90.00 93.33 90.00
Sites, in units of the cell vectors:
Er (0.197, 0.000, 0.347)
Er (0.213, 0.000, 0.926)
Er (0.787, 0.000, 0.074)
Er (0.803, 0.000, 0.653)
Tl (0.143, 0.500, 0.638)
Tl (0.452, 0.500, 0.162)
Tl (0.500, 0.500, 0.500)
Tl (0.548, 0.500, 0.838)
Tl (0.857, 0.500, 0.362)
Cu (0.072, 0.500, 0.124)
Cu (0.928, 0.500, 0.876)

No. 10
A plane-wave DFT calculation with GGA-PBE was carried out for Mg2SeCl after structural relaxation.

Space group: No. 216
ΔE_f (raw): -90 kJ/mol of formula units
ΔE to the lowest computed polymorph: 783 meV/atom
Crystal system: cubic

a b c (Å): 5.002 5.002 5.002
angles (deg): 60.00 60.00 60.00
Sites, in units of the cell vectors:
Mg (0.000, 0.000, 0.000)
Mg (0.250, 0.250, 0.250)
Se (0.500, 0.500, 0.500)
Cl (0.750, 0.750, 0.750)

No. 11
A plane-wave DFT calculation with GGA-PBE was carried out for BaCdGaSb2 after structural relaxation.

Space group: No. 123
ΔE_f (raw): -97 kJ/mol of formula units
ΔE to the lowest computed polymorph: 233 meV/atom
Crystal system: tetragonal

a b c (Å): 5.546 5.546 5.281
angles (deg): 90.00 90.00 90.00
Sites, in units of the cell vectors:
Ba (0.000, 0.000, 0.000)
Cd (0.500, 0.500, 0.000)
Ga (0.500, 0.500, 0.500)
Sb (0.000, 0.500, 0.500)
Sb (0.500, 0.000, 0.500)

No. 12
A plane-wave DFT calculation with GGA-PBE was carried out for Rb3TbCu2Cl9 after structural relaxation.

Space group: No. 164
ΔE_f (raw): -2257 kJ/mol of formula units
Crystal system: trigonal

a b c (Å): 7.221 7.221 8.941
angles (deg): 90.00 90.00 120.00
Sites, in units of the cell vectors:
Rb (0.000, 0.000, 0.000)
Rb (0.333, 0.667, 0.683)
Rb (0.667, 0.333, 0.317)
Tb (0.000, 0.000, 0.500)
Cu (0.333, 0.667, 0.137)
Cu (0.667, 0.333, 0.863)
Cl (0.000, 0.500, 0.000)
Cl (0.172, 0.343, 0.328)
Cl (0.172, 0.828, 0.328)
Cl (0.343, 0.172, 0.672)
Cl (0.500, 0.000, 0.000)
Cl (0.500, 0.500, 0.000)
Cl (0.657, 0.828, 0.328)
Cl (0.828, 0.172, 0.672)
Cl (0.828, 0.657, 0.672)

No. 13
A plane-wave DFT calculation with GGA-PBE was carried out for NaNpTlTe3 after structural relaxation.

Space group: No. 11
ΔE_f (raw): -367 kJ/mol of formula units
Crystal system: monoclinic

a b c (Å): 8.486 4.483 10.893
angles (deg): 90.00 93.93 90.00
Sites, in units of the cell vectors:
Na (0.241, 0.250, 0.490)
Na (0.759, 0.750, 0.510)
Np (0.418, 0.750, 0.820)
Np (0.582, 0.250, 0.180)
Tl (0.067, 0.750, 0.163)
Tl (0.933, 0.250, 0.837)
Te (0.111, 0.750, 0.671)
Te (0.298, 0.250, 0.986)
Te (0.430, 0.750, 0.322)
Te (0.570, 0.250, 0.678)
Te (0.702, 0.750, 0.014)
Te (0.889, 0.250, 0.329)

No. 14
A plane-wave DFT calculation with GGA-PBE was carried out for SbPd4Pb after structural relaxation.

Space group: No. 62
ΔE_f (raw): -197 kJ/mol of formula units
ΔE to the lowest computed polymorph: 0 meV/atom
Crystal system: orthorhombic

a b c (Å): 7.519 3.310 17.638
angles (deg): 90.00 90.00 90.00
Sites, in units of the cell vectors:
Sb (0.250, 0.250, 0.060)
Sb (0.250, 0.750, 0.560)
Sb (0.750, 0.250, 0.440)
Sb (0.750, 0.750, 0.940)
Pd (0.047, 0.250, 0.936)
Pd (0.067, 0.250, 0.198)
Pd (0.107, 0.250, 0.665)
Pd (0.113, 0.250, 0.445)
Pd (0.387, 0.750, 0.945)
Pd (0.393, 0.750, 0.165)
Pd (0.433, 0.750, 0.698)
Pd (0.453, 0.750, 0.436)
Pd (0.547, 0.250, 0.564)
Pd (0.567, 0.250, 0.302)
Pd (0.607, 0.250, 0.835)
Pd (0.613, 0.250, 0.055)
Pd (0.887, 0.750, 0.555)
Pd (0.893, 0.750, 0.335)
Pd (0.933, 0.750, 0.802)
Pd (0.953, 0.750, 0.064)
Pb (0.248, 0.750, 0.309)
Pb (0.252, 0.250, 0.809)
Pb (0.748, 0.750, 0.191)
Pb (0.752, 0.250, 0.691)

No. 15
A plane-wave DFT calculation with GGA-PBE was carried out for FeIrBr after structural relaxation.

Space group: No. 8
ΔE_f (raw): 140 kJ/mol of formula units
ΔE to the lowest computed polymorph: 0 meV/atom
Crystal system: monoclinic

a b c (Å): 6.159 6.159 3.130
angles (deg): 104.71 104.71 28.41
Sites, in units of the cell vectors:
Fe (0.000, 0.000, 0.000)
Ir (0.386, 0.386, 0.386)
Br (0.685, 0.685, 0.183)

No. 16
A plane-wave DFT calculation with GGA-PBE was carried out for Be2TcSb after structural relaxation.

Space group: No. 119
ΔE_f (raw): 74 kJ/mol of formula units
Crystal system: tetragonal

a b c (Å): 4.821 4.821 4.821
angles (deg): 135.79 135.79 64.31
Sites, in units of the cell vectors:
Be (0.000, 0.000, 0.000)
Be (0.750, 0.250, 0.500)
Tc (0.500, 0.500, 0.000)
Sb (0.250, 0.750, 0.500)

No. 17
A plane-wave DFT calculation with GGA-PBE was carried out for KCeZr4O12 after structural relaxation.

Space group: No. 38
ΔE_f (raw): -4641 kJ/mol of formula units
Crystal system: orthorhombic

a b c (Å): 8.279 5.803 5.803
angles (deg): 88.92 90.00 90.00
Sites, in units of the cell vectors:
K (0.000, 0.000, 0.000)
Ce (0.500, 0.513, 0.513)
Zr (0.245, 0.007, 0.502)
Zr (0.245, 0.502, 0.007)
Zr (0.755, 0.007, 0.502)
Zr (0.755, 0.502, 0.007)
O (0.000, 0.543, 0.985)
O (0.000, 0.985, 0.543)
O (0.223, 0.213, 0.213)
O (0.295, 0.292, 0.716)
O (0.295, 0.716, 0.292)
O (0.323, 0.745, 0.745)
O (0.500, 0.109, 0.449)
O (0.500, 0.449, 0.109)
O (0.677, 0.745, 0.745)
O (0.705, 0.292, 0.716)
O (0.705, 0.716, 0.292)
O (0.777, 0.213, 0.213)

No. 18
A plane-wave DFT calculation with GGA-PBE was carried out for MgTc2Sb2 after structural relaxation.

Space group: No. 127
ΔE_f (raw): 37 kJ/mol of formula units
ΔE to the lowest computed polymorph: 0 meV/atom
Crystal system: tetragonal

a b c (Å): 7.562 7.562 3.283
angles (deg): 90.00 90.00 90.00
Sites, in units of the cell vectors:
Mg (0.000, 0.000, 0.000)
Mg (0.500, 0.500, 0.000)
Tc (0.140, 0.360, 0.000)
Tc (0.360, 0.860, 0.000)
Tc (0.640, 0.140, 0.000)
Tc (0.860, 0.640, 0.000)
Sb (0.156, 0.656, 0.500)
Sb (0.344, 0.156, 0.500)
Sb (0.656, 0.844, 0.500)
Sb (0.844, 0.344, 0.500)

No. 19
A plane-wave DFT calculation with GGA-PBE was carried out for LaZr2Cl after structural relaxation.

Space group: No. 47
ΔE_f (raw): 26 kJ/mol of formula units
ΔE to the lowest computed polymorph: 454 meV/atom
Crystal system: orthorhombic

a b c (Å): 3.332 5.670 5.751
angles (deg): 90.00 90.00 90.00
Sites, in units of the cell vectors:
La (0.000, 0.000, 0.000)
Zr (0.500, 0.236, 0.500)
Zr (0.500, 0.764, 0.500)
Cl (0.000, 0.500, 0.000)

No. 20
A plane-wave DFT calculation with GGA-PBE was carried out for HfTi2H after structural relaxation.

Space group: No. 166
ΔE to the lowest computed polymorph: 192 meV/atom
Crystal system: trigonal

a b c (Å): 8.163 8.163 8.163
angles (deg): 20.70 20.70 20.70
Sites, in units of the cell vectors:
Hf (0.000, 0.000, 0.000)
Ti (0.116, 0.116, 0.116)
Ti (0.884, 0.884, 0.884)
H (0.500, 0.500, 0.500)

No. 21
A plane-wave DFT calculation with GGA-PBE was carried out for CdW2 after structural relaxation.

Space group: No. 8
ΔE to the lowest computed polymorph: 159 meV/atom
Formation energy from the elements: 0.640 eV per atom
Crystal system: monoclinic

a b c (Å): 5.732 5.732 7.090
angles (deg): 104.47 104.47 27.56
Sites, in units of the cell vectors:
Cd (0.000, 0.000, 0.000)
Cd (0.659, 0.659, 0.333)
W (0.059, 0.059, 0.627)
W (0.332, 0.332, 0.656)
W (0.387, 0.387, 0.300)
W (0.734, 0.734, 0.945)

No. 22
A plane-wave DFT calculation with GGA-PBE was carried out for FeW after structural relaxation.

Space group: No. 198
Formation energy from the elements: 0.310 eV per atom
Crystal system: cubic

a b c (Å): 4.781 4.781 4.781
angles (deg): 90.00 90.00 90.00
Sites, in units of the cell vectors:
Fe (0.106, 0.394, 0.606)
Fe (0.394, 0.606, 0.106)
Fe (0.606, 0.106, 0.394)
Fe (0.894, 0.894, 0.894)
W (0.100, 0.900, 0.400)
W (0.400, 0.100, 0.900)
W (0.600, 0.600, 0.600)
W (0.900, 0.400, 0.100)

No. 23
A plane-wave DFT calculation with GGA-PBE was carried out for La3Pr3Tl after structural relaxation.

Space group: No. 176
ΔE to the lowest computed polymorph: 0 meV/atom
Formation energy from the elements: -0.092 eV per atom
Crystal system: hexagonal

a b c (Å): 9.718 9.718 5.846
angles (deg): 90.00 90.00 120.00
Sites, in units of the cell vectors:
La (0.112, 0.482, 0.250)
La (0.370, 0.888, 0.250)
La (0.482, 0.370, 0.750)
La (0.518, 0.630, 0.250)
La (0.630, 0.112, 0.750)
La (0.888, 0.518, 0.750)
Pr (0.065, 0.246, 0.750)
Pr (0.180, 0.935, 0.750)
Pr (0.246, 0.180, 0.250)
Pr (0.754, 0.820, 0.750)
Pr (0.820, 0.065, 0.250)
Pr (0.935, 0.754, 0.250)
Tl (0.333, 0.667, 0.750)
Tl (0.667, 0.333, 0.250)

Calculated calculated volume in order - 200, 461, 175, 330, 127, 125, 93, 376, 272, 89, 162, 404, 413, 439, 55, 54, 279, 188, 109, 59, 104, 109, 478 Å³ per cell
Calculated DFT total energy in order - -7.090, -4.437, -4.310, -2.849, -2.816, -2.673, -6.921, -3.948, -3.736, -2.363, -3.024, -3.716, -4.976, -5.108, -5.849, -5.294, -8.268, -6.037, -5.900, -7.205, -8.300, -10.398, -4.590 eV per atom
Calculated spin magnetization in order - 0.0, 0.0, 0.0, 0.0, 4.0, 0.0, 0.0, 4.0, 0.0, 0.2, 0.0, 1.1, 3.0, 0.0, 3.9, 0.7, 3.0, 0.0, 0.0, 0.5, 0.0, 0.3, 0.0 μB/f.u.